First-principles (PBE) data for an optimized crystal structure of CaP3Pb, as listed in Alexandria via LeMat-Bulk.

Unit cell a=5.204 b=5.204 c=5.204 alpha=90.00 beta=90.00 gamma=90.00
Sites, in units of the cell vectors:
P 0.500 0.000 0.000
P 0.000 0.500 0.000
Pb 0.000 0.000 0.000
P 0.000 0.000 0.500
Ca 0.500 0.500 0.500

## Properties
- Formation energy: 0.664 eV per atom
- Offset from the most stable computed form: 0 meV per atom
- Volume: 140.9 Å³ per cell